## w
A relaxed TaMoW3 crystal, computed with GGA-PBE.

Cell lengths 4.7135, 4.7135, 4.7135 Å; angles 90.00, 90.00, 90.00 degrees
With the nearest neighbours (Å) after each atom.
Atoms (fractional coordinates):
W (0.0000, 0.0000, 0.5000)  2 Ta 2.36
W (0.0000, 0.5000, 0.0000)  2 Ta 2.36
W (0.5000, 0.0000, 0.0000)  2 Ta 2.36
Ta (0.0000, 0.0000, 0.0000)  6 W 2.36
Mo (0.5000, 0.5000, 0.5000)  12 W 3.33

Computed properties:
SG: No. 221
Volume in Å³/f.u.: 104.7
Theoretical density in g cm⁻³: 13.14

## x
A relaxed TaMoW3 crystal, computed with GGA-PBE.

Cell lengths 4.6274, 5.2784, 7.3257 Å; angles 90.00, 108.41, 90.00 degrees
With the nearest neighbours (Å) after each atom.
Atoms (fractional coordinates):
W (0.6962, 0.4978, 0.3925)  6 W 2.62-2.91
Ta (0.1000, 0.2500, 0.2000)  3 W 2.64-2.95, 2 Mo 2.74
W (0.1124, 0.7500, 0.2247)  3 Ta 2.64-2.95, 2 Mo 2.75, 4 W 2.91
Ta (0.9000, 0.7500, 0.8000)  3 W 2.64-2.95, 2 Mo 2.74
Mo (0.5050, 0.7500, 0.0100)  2 Mo 2.64, 2 Ta 2.74, 2 W 2.75
Mo (0.4950, 0.2500, 0.9900)  2 Mo 2.64, 2 Ta 2.74, 2 W 2.75
W (0.6962, 0.0022, 0.3925)  6 W 2.62-2.91
W (0.3038, 0.5022, 0.6075)  6 W 2.62-2.91
W (0.3038, 0.9978, 0.6075)  6 W 2.62-2.91
W (0.8876, 0.2500, 0.7753)  3 Ta 2.64-2.95, 2 Mo 2.75, 4 W 2.91

Computed properties:
SG: No. 63
Volume in Å³/f.u.: 84.9
Theoretical density in g cm⁻³: 16.21

Result of the stability comparison: x is the most stable of them.

## w
A relaxed TaMo3W4 crystal, computed with GGA-PBE.

Cell lengths 5.4141, 9.8723, 5.1545 Å; angles 90.00, 90.00, 90.00 degrees
With the nearest neighbours (Å) after each atom.
Atoms (fractional coordinates):
W (0.9131, 0.8786, 0.5000)  1 W 2.67, 2 Ta 2.71, 5 Mo 2.79-2.97
W (0.2184, 0.8728, 0.0000)  1 W 2.67, 4 Mo 2.71-2.81, 3 Ta 2.79-2.95
W (0.7184, 0.1272, 0.5000)  1 W 2.67, 4 Mo 2.71-2.81, 3 Ta 2.79-2.95
W (0.4131, 0.1214, 0.0000)  1 W 2.67, 2 Ta 2.71, 5 Mo 2.79-2.97
W (0.5624, 0.6369, 0.2521)  2 W 2.56-2.60, 4 Mo 2.68-2.79, 1 Ta 2.83
Mo (0.0638, 0.6344, 0.2504)  2 Mo 2.57-2.58, 5 W 2.68-2.85
Mo (0.2181, 0.1284, 0.5000)  1 Ta 2.67, 7 W 2.71-2.97
Ta (0.9131, 0.1202, 0.0000)  1 Mo 2.67, 7 W 2.71-2.95
W (0.5624, 0.6369, 0.7479)  2 W 2.56-2.60, 4 Mo 2.68-2.79, 1 Ta 2.83
W (0.0624, 0.3631, 0.7521)  2 W 2.56-2.60, 4 Mo 2.68-2.79, 1 Ta 2.83
Mo (0.5638, 0.3656, 0.7504)  2 Mo 2.57-2.58, 5 W 2.68-2.85
Mo (0.7181, 0.8716, 0.0000)  1 Ta 2.67, 7 W 2.71-2.97
W (0.0624, 0.3631, 0.2479)  2 W 2.56-2.60, 4 Mo 2.68-2.79, 1 Ta 2.83
Mo (0.5638, 0.3656, 0.2496)  2 Mo 2.57-2.58, 5 W 2.68-2.85
Ta (0.4131, 0.8798, 0.5000)  1 Mo 2.67, 7 W 2.71-2.95
Mo (0.0638, 0.6344, 0.7496)  2 Mo 2.57-2.58, 5 W 2.68-2.85

Computed properties:
SG: No. 31
Volume in Å³/f.u.: 137.8
Theoretical density in g cm⁻³: 14.52

## x
A relaxed TaMo3W4 crystal, computed with GGA-PBE.

Cell lengths 3.1837, 4.5174, 9.0377 Å; angles 90.00, 90.00, 90.00 degrees
With the nearest neighbours (Å) after each atom.
Atoms (fractional coordinates):
W (0.0000, 0.5000, 0.2546)  6 Mo 2.73-2.76, 2 Ta 2.80
W (0.0000, 0.5000, 0.7454)  6 Mo 2.73-2.76, 2 Ta 2.80
Mo (0.5000, 0.0000, 0.7481)  8 W 2.75-2.78
W (0.0000, 0.0000, 0.0000)  4 Ta 2.76, 4 Mo 2.78
W (0.0000, 0.0000, 0.5000)  8 Mo 2.75-2.76
Mo (0.5000, 0.0000, 0.2519)  8 W 2.75-2.78
Mo (0.5000, 0.5000, 0.5000)  8 W 2.73-2.76
Ta (0.5000, 0.5000, 0.0000)  8 W 2.76-2.80

Computed properties:
SG: No. 47
Volume in Å³/f.u.: 130.0
Theoretical density in g cm⁻³: 15.38

Result of the stability comparison: x is the most stable of them.

## w
A relaxed TaMo2W4 crystal, computed with GGA-PBE.

Cell lengths 5.5094, 5.5094, 5.5094 Å; angles 101.97, 101.97, 125.83 degrees
With the nearest neighbours (Å) after each atom.
Atoms (fractional coordinates):
Ta (0.5000, 0.5000, 0.0000)  12 W 3.07-3.11
W (0.1874, 0.1873, 0.3747)  4 W 2.60-2.79, 4 Mo 2.82
Mo (0.7500, 0.2500, 0.5000)  2 Mo 2.51
W (0.8127, 0.1874, 0.0000)  4 W 2.60-2.79, 4 Mo 2.82
Mo (0.2500, 0.7500, 0.5000)  2 Mo 2.51
W (0.1873, 0.8126, 0.0000)  4 W 2.60-2.79, 4 Mo 2.82
W (0.8126, 0.8127, 0.6253)  4 W 2.60-2.79, 4 Mo 2.82

Computed properties:
SG: No. 139
Volume in Å³/f.u.: 120.7
Theoretical density in g cm⁻³: 15.24

## x
A relaxed TaMo2W4 crystal, computed with GGA-PBE.

Cell lengths 3.1255, 4.4670, 8.6507 Å; angles 90.00, 94.48, 90.00 degrees
With the nearest neighbours (Å) after each atom.
Atoms (fractional coordinates):
Ta (0.0000, 0.0000, 0.0000)  4 Mo 2.70
W (0.2852, 0.0000, 0.6447)  6 W 2.72-2.96, 2 Mo 2.96
W (0.7148, 0.0000, 0.3553)  6 W 2.72-2.96, 2 Mo 2.96
W (0.7760, 0.5000, 0.6225)  2 Mo 2.60-2.70, 6 W 2.63-2.74
Mo (0.3014, 0.5000, 0.8702)  1 Mo 2.48, 2 W 2.60-2.70, 2 Ta 2.70
Mo (0.6986, 0.5000, 0.1298)  1 Mo 2.48, 2 W 2.60-2.70, 2 Ta 2.70
W (0.2240, 0.5000, 0.3775)  2 Mo 2.60-2.70, 6 W 2.63-2.74

Computed properties:
SG: No. 10
Volume in Å³/f.u.: 120.4
Theoretical density in g cm⁻³: 15.28

Result of the stability comparison: x is the most stable of them.

## w
A relaxed Ta2MoW6 crystal, computed with GGA-PBE.

Cell lengths 2.7253, 8.2610, 8.1864 Å; angles 120.30, 74.66, 90.00 degrees
With the nearest neighbours (Å) after each atom.
Atoms (fractional coordinates):
W (0.9774, 0.9960, 0.3325)  5 W 2.68-2.81, 1 Mo 2.72, 2 Ta 2.82-2.86
W (0.5000, 0.6731, 0.0000)  5 W 2.68-2.86, 2 Ta 2.91
W (0.0226, 0.6635, 0.6675)  5 W 2.68-2.81, 1 Mo 2.72, 2 Ta 2.82-2.86
W (0.9774, 0.3365, 0.3325)  5 W 2.68-2.81, 1 Mo 2.72, 2 Ta 2.82-2.86
W (0.5000, 0.3269, 0.0000)  5 W 2.68-2.86, 2 Ta 2.91
Ta (0.6540, 0.6681, 0.3361)  2 Ta 2.73, 6 W 2.82-2.91
W (0.0226, 0.0040, 0.6675)  5 W 2.68-2.81, 1 Mo 2.72, 2 Ta 2.82-2.86
Mo (0.0000, 0.0000, 0.0000)  8 W 2.72-3.03, 2 Mo 2.73
Ta (0.3460, 0.3319, 0.6639)  2 Ta 2.73, 6 W 2.82-2.91

Computed properties:
SG: No. 12
Volume in Å³/f.u.: 151.5
Theoretical density in g cm⁻³: 17.11

## x
A relaxed Ta2MoW6 crystal, computed with GGA-PBE.

Cell lengths 5.1737, 5.8529, 5.8529 Å; angles 68.50, 77.29, 77.29 degrees
With the nearest neighbours (Å) after each atom.
Atoms (fractional coordinates):
W (0.3592, 0.1436, 0.1436)  1 Mo 2.60, 5 W 2.65-2.77, 1 Ta 2.83
W (0.3022, 0.2145, 0.5963)  3 W 2.52-2.77, 1 Mo 2.58
Ta (0.1839, 0.6941, 0.6941)  8 W 2.83-3.17, 1 Mo 2.86
W (0.3022, 0.5963, 0.2145)  3 W 2.52-2.77, 1 Mo 2.58
W (0.6978, 0.4037, 0.7855)  3 W 2.52-2.77, 1 Mo 2.58
W (0.6408, 0.8564, 0.8564)  1 Mo 2.60, 5 W 2.65-2.77, 1 Ta 2.83
Ta (0.8161, 0.3059, 0.3059)  8 W 2.83-3.17, 1 Mo 2.86
W (0.6978, 0.7855, 0.4037)  3 W 2.52-2.77, 1 Mo 2.58
Mo (0.0000, 0.0000, 0.0000)  6 W 2.58-2.60, 2 Ta 2.86

Computed properties:
SG: No. 12
Volume in Å³/f.u.: 158.9
Theoretical density in g cm⁻³: 16.31

Result of the stability comparison: w is the most stable of them.

## w
A relaxed Ta4Mo2W crystal, computed with GGA-PBE.

Cell lengths 4.5563, 4.5563, 7.7361 Å; angles 72.87, 72.87, 60.00 degrees
With the nearest neighbours (Å) after each atom.
Atoms (fractional coordinates):
Mo (0.1220, 0.1220, 0.6339)  1 W 2.66, 4 Ta 2.70-2.74
Ta (0.7543, 0.7543, 0.7371)  4 Mo 2.70-2.74, 4 Ta 2.80-2.88
W (0.0000, 0.0000, 0.0000)  2 Mo 2.66, 6 Ta 2.80
Ta (0.2457, 0.2457, 0.2629)  4 Mo 2.70-2.74, 4 Ta 2.80-2.88
Ta (0.3776, 0.3776, 0.8673)  4 Ta 2.80-2.88, 3 W 2.80, 3 Mo 3.13
Mo (0.8780, 0.8780, 0.3661)  1 W 2.66, 4 Ta 2.70-2.74
Ta (0.6224, 0.6224, 0.1327)  4 Ta 2.80-2.88, 3 W 2.80, 3 Mo 3.13

Computed properties:
SG: No. 166
Volume in Å³/f.u.: 130.8
Theoretical density in g cm⁻³: 13.96

## x
A relaxed Ta4Mo2W crystal, computed with GGA-PBE.

Cell lengths 4.5419, 4.5419, 7.7008 Å; angles 72.85, 72.85, 60.00 degrees
With the nearest neighbours (Å) after each atom.
Atoms (fractional coordinates):
Mo (0.7496, 0.7496, 0.7513)  8 Ta 2.65-2.80
Ta (0.1283, 0.1283, 0.6152)  4 Mo 2.65-2.80, 1 W 2.79
Ta (0.6208, 0.6208, 0.1375)  4 Mo 2.74-2.80, 3 W 2.80
Ta (0.3792, 0.3792, 0.8625)  4 Mo 2.74-2.80, 3 W 2.80
Mo (0.2504, 0.2504, 0.2487)  8 Ta 2.65-2.80
W (0.0000, 0.0000, 0.0000)  8 Ta 2.79-2.80
Ta (0.8717, 0.8717, 0.3848)  4 Mo 2.65-2.80, 1 W 2.79

Computed properties:
SG: No. 166
Volume in Å³/f.u.: 129.4
Theoretical density in g cm⁻³: 14.11

Result of the stability comparison: x is the most stable of them.

## w
A relaxed TaMo4W5 crystal, computed with GGA-PBE.

Cell lengths 4.4654, 8.4874, 6.7938 Å; angles 129.21, 109.19, 90.00 degrees
With the nearest neighbours (Å) after each atom.
Atoms (fractional coordinates):
W (0.8286, 0.8103, 0.6572)  3 Mo 2.62-2.73, 2 W 2.71, 2 Ta 2.77
Ta (0.5000, 0.0000, 0.0000)  2 Mo 2.70, 4 W 2.77
W (0.1714, 0.1897, 0.3428)  3 Mo 2.62-2.73, 2 W 2.71, 2 Ta 2.77
W (0.1673, 0.6518, 0.3346)  3 Mo 2.60-2.74, 4 W 2.71-2.75
Mo (0.6693, 0.9169, 0.3387)  3 W 2.64-2.74, 1 Ta 2.70, 4 Mo 2.71
Mo (0.9910, 0.2399, 0.9820)  4 W 2.60-2.73, 2 Mo 2.71
Mo (0.0090, 0.7601, 0.0180)  4 W 2.60-2.73, 2 Mo 2.71
W (0.8327, 0.3482, 0.6653)  3 Mo 2.60-2.74, 4 W 2.71-2.75
W (0.5000, 0.5000, 0.0000)  2 Mo 2.64, 4 W 2.75
Mo (0.3306, 0.0831, 0.6613)  3 W 2.64-2.74, 1 Ta 2.70, 4 Mo 2.71

Computed properties:
SG: No. 12
Volume in Å³/f.u.: 180.7
Theoretical density in g cm⁻³: 13.64

## x
A relaxed TaMo4W5 crystal, computed with GGA-PBE.

Cell lengths 3.1828, 3.1828, 16.0172 Å; angles 90.00, 90.00, 90.00 degrees
With the nearest neighbours (Å) after each atom.
Atoms (fractional coordinates):
Mo (0.0000, 0.0000, 0.2021)  8 W 2.74-2.76
Ta (0.0000, 0.0000, 0.0000)  8 W 2.80
W (0.5000, 0.5000, 0.6980)  8 Mo 2.75-2.76
W (0.5000, 0.5000, 0.3020)  8 Mo 2.75-2.76
W (0.5000, 0.5000, 0.5000)  8 Mo 2.76
W (0.5000, 0.5000, 0.1042)  4 Mo 2.74, 4 Ta 2.80
Mo (0.0000, 0.0000, 0.7979)  8 W 2.74-2.76
Mo (0.0000, 0.0000, 0.4006)  8 W 2.75-2.76
Mo (0.0000, 0.0000, 0.5994)  8 W 2.75-2.76
W (0.5000, 0.5000, 0.8958)  4 Mo 2.74, 4 Ta 2.80

Computed properties:
SG: No. 123
Volume in Å³/f.u.: 162.3
Theoretical density in g cm⁻³: 15.19

Result of the stability comparison: x is the most stable of them.